HfAs2SeS PBE optimized geometry; space-group type = P4/mmm; volume = 105.1 Å³/cell; ρ = 6.940 Mg/m³; energy above the most stable polymorph in this dataset = 0.0375 eV per atom; spin magnetization = 0.0 μB per cell; E_form (uncorrected) = 0.442 eV/atom
1.0
4.7457 0.0000 0.0000
0.0000 4.7457 0.0000
0.0000 0.0000 4.6679
Hf As Se S
1 2 1 1
Cartesian
0.0000 0.0000 0.0000
0.0000 2.3729 2.3340
2.3729 0.0000 2.3340
2.3729 2.3729 0.0000
2.3729 2.3729 2.3340